The following is a PBE calculation of a relaxed BeOs2Br crystal, from Alexandria.

Lattice parameters (Å, degrees): 2.8057 2.8057 25.1246 90.00 90.00 120.00
Closest atoms and distances in Å follow each position.
Space group R-3m (No. 166, hexagonal axes)
Inequivalent atoms, fractional coordinates:
1 Be 0.0000 0.0000 0.0000 x3  6 Os 2.46
2 Os 0.0000 0.0000 0.2595 x6  3 Be 2.46
3 Br 0.0000 0.0000 0.5000 x3  6 Br 2.81, 6 Os 2.84

Output
ΔE to the lowest computed polymorph = 0.3236 eV per atom
formation energy without anion corrections = 0.867 eV/atom
spin magnetization = 0.00 μB/atom